No. 1
A plane-wave DFT calculation with PBE was carried out for RbGe3S after structural relaxation.

Structure (POSCAR):
```
RbGe3S
1.0
-4.1129 -0.0948 -3.1590
-0.1850 -5.1685 0.3959
-3.1550 0.4266 4.0949
Ge S Rb
3 1 1
Direct
0.0000 0.5000 0.0000
0.0000 0.0000 0.5000
0.5000 0.0000 0.0000
0.0000 0.0000 0.0000
0.5000 0.5000 0.5000
```

Values from the calculation:
Raw total energy ... -3.413 eV per atom
SG ... Pm-3m
Uncorrected formation energy ... 182 kJ/mol of formula units



No. 2
A plane-wave DFT calculation with PBE was carried out for RbGeS3 after structural relaxation.

Structure (POSCAR):
```
RbGeS3
1.0
4.9052 0.0000 0.0000
0.0000 4.9052 0.0000
0.0000 0.0000 4.9052
Ge S Rb
1 3 1
Direct
0.0000 0.0000 0.0000
0.0000 0.5000 0.0000
0.0000 0.0000 0.5000
0.5000 0.0000 0.0000
0.5000 0.5000 0.5000
```

Values from the calculation:
Raw total energy ... -3.767 eV per atom
SG ... Pm-3m
Uncorrected formation energy ... -84 kJ/mol of formula units



No. 3
A plane-wave DFT calculation with PBE was carried out for RbGeS2 after structural relaxation.

Structure (POSCAR):
```
RbGeS2
1.0
-3.8142 -1.4419 -1.6854
0.8927 -4.5199 1.8451
-3.7189 3.9966 4.9980
Rb Ge S
1 1 2
Direct
0.5606 0.4714 0.9662
0.0604 0.7739 0.5799
0.0606 0.9332 0.8885
0.5606 0.7067 0.4547
```

Values from the calculation:
Raw total energy ... -4.015 eV per atom
SG ... Pm
Uncorrected formation energy ... -214 kJ/mol of formula units



No. 4
A plane-wave DFT calculation with PBE was carried out for RbGe2S after structural relaxation.

Structure (POSCAR):
```
RbGe2S
1.0
4.9747 0.0000 0.0000
0.0000 4.9747 0.0000
2.4874 2.4874 9.6021
Ge S Rb
4 2 2
Direct
0.4270 0.1250 0.2500
0.3230 0.6250 0.2500
0.3750 0.5730 0.7500
0.8750 0.6770 0.7500
0.5000 0.5000 0.0000
0.2500 0.7500 0.5000
0.0000 0.0000 0.0000
0.7500 0.2500 0.5000
```

Values from the calculation:
Raw total energy ... -3.686 eV per atom
SG ... I-42d
Uncorrected formation energy ... -40 kJ/mol of formula units



No. 5
A plane-wave DFT calculation with PBE was carried out for Rb3GeS4 after structural relaxation.

Structure (POSCAR):
```
Rb3GeS4
1.0
5.1579 0.0148 2.5782
1.1785 6.8439 4.0486
-0.7330 1.2647 7.9046
Ge S Rb
1 4 3
Direct
0.5000 0.5222 0.4778
0.6407 0.5526 0.1659
0.3593 0.8341 0.4474
0.2261 0.2959 0.7040
0.7739 0.2960 0.7041
0.2879 0.3627 0.0612
0.0000 0.8486 0.1514
0.7121 0.9388 0.6373
```

Values from the calculation:
Raw total energy ... -3.863 eV per atom
SG ... Imm2
Uncorrected formation energy ... -663 kJ/mol of formula units



No. 6
A plane-wave DFT calculation with PBE was carried out for RbGeS2 after structural relaxation.

Structure (POSCAR):
```
RbGeS2
1.0
-2.6052 -6.4590 1.7640
-0.1937 -1.8193 -6.9477
3.2721 -5.9308 -2.2529
Ge S Rb
2 4 2
Direct
0.5000 0.5000 0.0000
0.2500 0.7500 0.5000
0.5078 0.1250 0.2500
0.2422 0.6250 0.2500
0.3750 0.4922 0.7500
0.8750 0.7578 0.7500
0.0000 0.0000 0.0000
0.7500 0.2500 0.5000
```

Values from the calculation:
Raw total energy ... -4.063 eV per atom
SG ... I-42d
Uncorrected formation energy ... -233 kJ/mol of formula units



The highest uncorrected formation energy belongs to which entry?
RbGe3S



What is the uncorrected formation energy in the fifth record?
-663 kJ/mol of formula units